Entry 1:
VASP calculation (GGA-PBE) on a geometry-optimized Ta4BeW structure.

Values from the calculation:
* ΔE_f: 723 meV/atom
* crystal system: cubic

Cell: 7.5731 7.5731 7.5731 Å, 90.00 90.00 90.00°
Closest atoms and distances in Å follow each position.
Space group F-43m (No. 216)
One atom of each set of equivalent atoms:
Ta1 0.1239 0.1239 0.3761 (multiplicity 16)  6 Ta 2.65-2.70
Be1 0.0000 0.0000 0.0000 (multiplicity 4)  12 Ta 3.14, 4 W 3.28
W1 0.2500 0.2500 0.7500 (multiplicity 4)  12 Ta 3.14, 4 Be 3.28

---

Entry 2:
VASP calculation (GGA-PBE) on a geometry-optimized Ge2BiIr2 structure.

Values from the calculation:
* E above lowest polymorph: 0 meV per atom
* ΔE_f: -64 meV/atom
* crystal system: tetragonal

Cell: 3.9699 3.9699 11.9800 Å, 90.00 90.00 90.00°
Closest atoms and distances in Å follow each position.
Space group I4/mmm (No. 139)
One atom of each set of equivalent atoms:
Ge1 0.0000 0.5000 0.2500 (multiplicity 4)  4 Ir 2.50
Bi1 0.0000 0.0000 0.0000 (multiplicity 2)  8 Ir 3.17
Ir1 0.0000 0.0000 0.3771 (multiplicity 4)  4 Ge 2.50

---

Entry 3:
VASP calculation (GGA-PBE) on a geometry-optimized LiAcHg2 structure.

Values from the calculation:
* E above lowest polymorph: 95 meV per atom
* ΔE_f: -324 meV/atom
* crystal system: tetragonal

Cell: 5.4940 5.4940 3.8131 Å, 90.00 90.00 90.00°
Closest atoms and distances in Å follow each position.
Space group P4/mmm (No. 123)
One atom of each set of equivalent atoms:
Li1 0.0000 0.0000 0.0000 (multiplicity 1)  8 Hg 3.34
Ac1 0.5000 0.5000 0.0000 (multiplicity 1)  8 Hg 3.34
Hg1 0.0000 0.5000 0.5000 (multiplicity 2)  4 Ac 3.34, 4 Li 3.34

---

Entry 4:
VASP calculation (GGA-PBE) on a geometry-optimized Na3Dy3ThSe8 structure.

Values from the calculation:
* crystal system: trigonal

Cell: 8.3498 8.3498 21.1094 Å, 90.00 90.00 120.00°
Closest atoms and distances in Å follow each position.
Space group R-3m (No. 166, hexagonal axes)
One atom of each set of equivalent atoms:
Na1 0.0000 0.5000 0.0000 (multiplicity 9)  6 Se 3.08-3.09
Dy1 0.0000 0.5000 0.5000 (multiplicity 9)  6 Se 2.88-2.90
Th1 0.0000 0.0000 0.5000 (multiplicity 3)  6 Se 2.92
Se1 0.0000 0.0000 0.2428 (multiplicity 6)  3 Dy 2.90, 3 Na 3.08
Se2 0.0043 0.5021 0.7574 (multiplicity 18)  2 Dy 2.88, 1 Th 2.92, 2 Na 3.09

---

Entry 5:
VASP calculation (GGA-PBE) on a geometry-optimized LaDy2Ho9 structure.

Values from the calculation:
* E above lowest polymorph: 0 meV per atom
* ΔE_f: 27 meV/atom
* crystal system: tetragonal

Cell: 5.0159 5.0159 15.0679 Å, 90.00 90.00 90.00°
Closest atoms and distances in Å follow each position.
Space group P4/mmm (No. 123)
One atom of each set of equivalent atoms:
La1 0.0000 0.0000 0.0000 (multiplicity 1)  12 Ho 3.55-3.59
Dy1 0.0000 0.0000 0.3343 (multiplicity 2)  12 Ho 3.52-3.55
Ho1 0.0000 0.5000 0.1704 (multiplicity 4)  2 Dy 3.52, 8 Ho 3.53-3.59, 2 La 3.59
Ho2 0.0000 0.5000 0.5000 (multiplicity 2)  8 Ho 3.53-3.55, 4 Dy 3.54
Ho3 0.5000 0.5000 0.0000 (multiplicity 1)  4 La 3.55, 8 Ho 3.59
Ho4 0.5000 0.5000 0.3356 (multiplicity 2)  8 Ho 3.53, 4 Dy 3.55

---

Entry 6:
VASP calculation (GGA-PBE) on a geometry-optimized Sm3ScTe6 structure.

Values from the calculation:
* E above lowest polymorph: 19 meV per atom
* crystal system: trigonal

Cell: 12.8024 12.8024 15.4836 Å, 90.00 90.00 120.00°
Closest atoms and distances in Å follow each position.
Space group R-3 (No. 148, hexagonal axes)
One atom of each set of equivalent atoms:
Sm1 0.0570 0.2751 0.1999 (multiplicity 18)  6 Te 3.09-3.21
Sc1 0.0000 0.0000 0.0000 (multiplicity 3)  6 Te 2.91
Sc2 0.0000 0.0000 0.5000 (multiplicity 3)  6 Te 2.95
Te1 0.0152 0.1997 0.3954 (multiplicity 18)  1 Sc 2.95, 3 Sm 3.14-3.20
Te2 0.0348 0.1939 0.8841 (multiplicity 18)  1 Sc 2.91, 3 Sm 3.09-3.21

---

Entry 7:
VASP calculation (GGA-PBE) on a geometry-optimized AcLaGeBr structure.

Values from the calculation:
* E above lowest polymorph: 0 meV per atom
* crystal system: cubic

Cell: 7.7014 7.7014 7.7014 Å, 90.00 90.00 90.00°
Closest atoms and distances in Å follow each position.
Space group F-43m (No. 216)
One atom of each set of equivalent atoms:
Ac1 0.0000 0.0000 0.0000 (multiplicity 4)  4 Ge 3.33, 4 Br 3.33
La1 0.0000 0.0000 0.5000 (multiplicity 4)  4 Ge 3.33, 4 Br 3.33
Ge1 0.2500 0.2500 0.2500 (multiplicity 4)  4 La 3.33, 4 Ac 3.33
Br1 0.2500 0.2500 0.7500 (multiplicity 4)  4 Ac 3.33, 4 La 3.33

---

Entry 8:
VASP calculation (GGA-PBE) on a geometry-optimized K2BeCr structure.

Values from the calculation:
* ΔE_f: 1323 meV/atom
* crystal system: trigonal

Cell: 3.5387 3.5387 34.9608 Å, 90.00 90.00 120.00°
Closest atoms and distances in Å follow each position.
Space group R-3m (No. 166, hexagonal axes)
One atom of each set of equivalent atoms:
K1 0.0000 0.0000 0.2466 (multiplicity 6)  3 Be 3.46, 6 K 3.54, 3 Cr 3.66
Be1 0.0000 0.0000 0.5000 (multiplicity 3)  6 K 3.46, 6 Be 3.54
Cr1 0.0000 0.0000 0.0000 (multiplicity 3)  6 Cr 3.54, 6 K 3.66

---

Entry 9:
VASP calculation (GGA-PBE) on a geometry-optimized Sc4GeSb2 structure.

Values from the calculation:
* E above lowest polymorph: 205 meV per atom
* crystal system: tetragonal

Cell: 4.9012 4.9012 15.0745 Å, 90.00 90.00 90.00°
Closest atoms and distances in Å follow each position.
Space group I4/mmm (No. 139)
One atom of each set of equivalent atoms:
Sc1 0.0000 0.0000 0.1711 (multiplicity 4)  1 Ge 2.58
Sc2 0.0000 0.5000 0.0000 (multiplicity 4)  2 Ge 2.45
Ge1 0.0000 0.0000 0.0000 (multiplicity 2)  6 Sc 2.45-2.58
Sb1 0.0000 0.0000 0.3628 (multiplicity 4)  5 Sc 2.89-3.21

---

Entry 10:
VASP calculation (GGA-PBE) on a geometry-optimized Co2Pt structure.

Values from the calculation:
* ΔE_f: 387 meV/atom
* crystal system: tetragonal

Cell: 3.3439 3.3439 14.9712 Å, 90.00 90.00 90.00°
Closest atoms and distances in Å follow each position.
Space group I4_1/amd (No. 141, origin choice 2)
One atom of each set of equivalent atoms:
Co1 0.0000 0.2500 0.2978 (multiplicity 8)  3 Co 2.20-2.31
Pt1 0.0000 0.2500 0.8750 (multiplicity 4)  8 Co 2.63

---

Entry 11:
VASP calculation (GGA-PBE) on a geometry-optimized MnIn2Hg structure.

Values from the calculation:
* ΔE_f: 311 meV/atom
* crystal system: cubic

Cell: 7.1427 7.1427 7.1427 Å, 90.00 90.00 90.00°
Closest atoms and distances in Å follow each position.
Space group F-43m (No. 216)
One atom of each set of equivalent atoms:
Mn1 0.0000 0.0000 0.0000 (multiplicity 4)  4 Hg 3.09, 4 In 3.09
In1 0.0000 0.0000 0.5000 (multiplicity 4)  4 Hg 3.09, 4 In 3.09
In2 0.2500 0.2500 0.7500 (multiplicity 4)  4 In 3.09, 4 Mn 3.09
Hg1 0.2500 0.2500 0.2500 (multiplicity 4)  4 In 3.09, 4 Mn 3.09

---

Entry 12:
VASP calculation (GGA-PBE) on a geometry-optimized CaGa2Hg2 structure.

Values from the calculation:
* E above lowest polymorph: 92 meV per atom
* ΔE_f: -176 meV/atom
* crystal system: tetragonal

Cell: 7.9806 7.9806 3.7130 Å, 90.00 90.00 90.00°
Closest atoms and distances in Å follow each position.
Space group P4/mbm (No. 127)
One atom of each set of equivalent atoms:
Ca1 0.0000 0.0000 0.0000 (multiplicity 2)  4 Ga 3.18, 8 Hg 3.47
Ga1 0.1204 0.3796 0.0000 (multiplicity 4)  1 Ga 2.72, 2 Hg 2.94
Hg1 0.1781 0.6781 0.5000 (multiplicity 4)  6 Ga 2.94-3.05

---

Theoretical density readings, ordered: 14.02, 12.99, 9.16, 5.55, 8.53, 5.72, 7.54, 1.83, 4.55, 12.42, 8.84, 8.16 g/cm³
DFT total energy readings, ordered: -9.959, -6.232, -1.981, -5.236, -4.584, -5.261, -4.832, -2.563, -5.997, -6.364, -3.426, -1.908 eV/atom